# GGA-PBE Li2TaN2, relaxed
data_Li2TaN2
_space_group_name_H-M_alt 'I 4/m m m'
_space_group_IT_number 139
_space_group_name_Hall '-I 4 2'
_cell_length_a 3.6860
_cell_length_b 3.6860
_cell_length_c 6.3900
_cell_angle_alpha 90.00
_cell_angle_beta 90.00
_cell_angle_gamma 90.00
loop_
_atom_site_label
_atom_site_type_symbol
_atom_site_fract_x
_atom_site_fract_y
_atom_site_fract_z
_atom_site_occupancy
Li1 Li 0.0000 0.0000 0.1483 1
Ta1 Ta 0.0000 0.0000 0.5000 1
N1 N 0.0000 0.5000 0.2500 1
# **Theoretical density**: 8524 kg/m³
# **Formation energy without anion corrections**: 5.416 kcal/mol of atoms

# GGA-PBE LuThCrTc, relaxed
data_LuThCrTc
_space_group_name_H-M_alt 'F -4 3 m'
_space_group_IT_number 216
_space_group_name_Hall 'F -4 2 3'
_cell_length_a 6.9961
_cell_length_b 6.9961
_cell_length_c 6.9961
_cell_angle_alpha 90.00
_cell_angle_beta 90.00
_cell_angle_gamma 90.00
loop_
_atom_site_label
_atom_site_type_symbol
_atom_site_fract_x
_atom_site_fract_y
_atom_site_fract_z
_atom_site_occupancy
Lu1 Lu 0.0000 0.0000 0.0000 1
Th1 Th 0.0000 0.0000 0.5000 1
Cr1 Cr 0.2500 0.2500 0.7500 1
Tc1 Tc 0.2500 0.2500 0.2500 1
# **E_form**: 0.0839 eV per atom
# **Theoretical density**: 10804 kg/m³

# GGA-PBE MgCdCu2, relaxed
data_MgCdCu2
_space_group_name_H-M_alt 'C 1 m 1'
_space_group_IT_number 8
_space_group_name_Hall 'C -2y'
_cell_length_a 9.7672
_cell_length_b 3.0814
_cell_length_c 4.5592
_cell_angle_alpha 90.00
_cell_angle_beta 110.73
_cell_angle_gamma 90.00
loop_
_atom_site_label
_atom_site_type_symbol
_atom_site_fract_x
_atom_site_fract_y
_atom_site_fract_z
_atom_site_occupancy
Mg1 Mg 0.0000 0.0000 0.0000 1
Cd1 Cd 0.2811 0.5000 0.3218 1
Cu1 Cu 0.0328 0.5000 0.5274 1
Cu2 Cu 0.2426 0.0000 0.7927 1
# **E_form**: -0.0391 eV per atom
# **Theoretical density**: 6827 kg/m³

# GGA-PBE ZrTlAsClO, relaxed
data_ZrTlAsClO
_space_group_name_H-M_alt 'P 1'
_space_group_IT_number 1
_space_group_name_Hall 'P 1'
_cell_length_a 3.4954
_cell_length_b 3.6607
_cell_length_c 10.2563
_cell_angle_alpha 81.04
_cell_angle_beta 80.44
_cell_angle_gamma 62.23
loop_
_atom_site_label
_atom_site_type_symbol
_atom_site_fract_x
_atom_site_fract_y
_atom_site_fract_z
_atom_site_occupancy
Zr1 Zr 0.0000 0.0000 0.0000 1
Tl1 Tl 0.1673 0.2291 0.4523 1
As1 As 0.5717 0.6519 0.2275 1
Cl1 Cl 0.7144 0.7693 0.8094 1
O1 O 0.3274 0.3468 0.0031 1
# **Theoretical density**: 6144 kg/m³
# **Formation energy without anion corrections**: -30.843 kcal/mol of atoms